# 1
Entry from Alexandria: an optimized crystal structure of H2Rh4Pb3 (PBE).

Unit cell a=5.709 b=7.423 c=7.423 alpha=94.07 beta=80.56 gamma=80.56
Positions (direct):
Pb (0.078, 0.041, 0.734)
Pb (0.578, 0.734, 0.041)
Pb (0.250, 0.589, 0.411)
Pb (0.422, 0.266, 0.959)
Pb (0.922, 0.959, 0.266)
Pb (0.750, 0.411, 0.589)
H (0.814, 0.396, 0.190)
H (0.686, 0.810, 0.604)
H (0.314, 0.190, 0.396)
H (0.186, 0.604, 0.810)
Rh (0.874, 0.375, 0.939)
Rh (0.413, 0.733, 0.708)
Rh (0.587, 0.267, 0.292)
Rh (0.626, 0.061, 0.625)
Rh (0.126, 0.625, 0.061)
Rh (0.374, 0.939, 0.375)
Rh (0.913, 0.708, 0.733)
Rh (0.087, 0.292, 0.267)

Results
As for the magnetization: 0.0 μB/f.u. As for the final energy: -5.239 eV/atom.


# 2
Entry from Alexandria: an optimized crystal structure of Pr3Er2Ag3 (PBE).

Unit cell a=3.702 b=5.454 c=11.564 alpha=103.64 beta=99.21 gamma=90.00
Positions (direct):
Ag (0.876, 0.876, 0.752)
Ag (0.000, 0.500, 0.000)
Ag (0.124, 0.124, 0.248)
Er (0.267, 0.767, 0.534)
Er (0.733, 0.233, 0.466)
Pr (0.500, 0.000, 0.000)
Pr (0.377, 0.377, 0.755)
Pr (0.623, 0.623, 0.245)

Results
As for the magnetization: 0.0 μB/f.u. The value obtained for the formation energy is -188 meV per atom.


What did the second record say?
Entry from Alexandria: an optimized crystal structure of Pr3Er2Ag3 (PBE).

Unit cell a=3.702 b=5.454 c=11.564 alpha=103.64 beta=99.21 gamma=90.00
Positions (direct):
Ag (0.876, 0.876, 0.752)
Ag (0.000, 0.500, 0.000)
Ag (0.124, 0.124, 0.248)
Er (0.267, 0.767, 0.534)
Er (0.733, 0.233, 0.466)
Pr (0.500, 0.000, 0.000)
Pr (0.377, 0.377, 0.755)
Pr (0.623, 0.623, 0.245)

Results
As for the magnetization: 0.0 μB/f.u. The value obtained for the formation energy is -188 meV per atom.


magnetization of number 2 (Pr3Er2Ag3)?
0.0 μB/f.u.


Which formula does entry 2 have?
Pr3Er2Ag3


magnetization of number 2 (Pr3Er2Ag3)?
0.0 μB/f.u.